Cr2AgHg | PBE | optimized geometry

Cell lengths 9.222, 9.222, 9.222 Å; angles 19.12, 19.12, 19.12 degrees
Atoms (fractional coordinates):
Ag (0.750, 0.750, 0.750)
Cr (0.001, 0.001, 0.001)
Cr (0.499, 0.499, 0.499)
Hg (0.250, 0.250, 0.250)

Symmetry: R-3m
Energy of formation, meV per atom: 684.3
V, Å³/atom: 18.38
Calculated density, Mg/m³: 9.313
Total energy, eV per atom: -4.9156
M_tot, μB/cell: 7.81


Sc2BeTe | PBE | optimized geometry

Cell lengths 5.593, 5.593, 3.786 Å; angles 89.99, 89.99, 42.10 degrees
Atoms (fractional coordinates):
Sc (0.034, 0.034, 0.125)
Sc (0.734, 0.734, 0.625)
Be (0.283, 0.283, 0.125)
Te (0.449, 0.449, 0.625)

E_form (uncorrected), eV per atom: -0.479
Symmetry: Amm2
V, Å³/atom: 19.85
Calculated density, Mg/m³: 4.737
ΔE to the lowest computed polymorph, meV/atom: 0
Total energy, eV per atom: -5.3621
M_tot, μB/cell: 0.00


Fe2CoSi | PBE | optimized geometry

Cell lengths 8.011, 8.011, 8.011 Å; angles 18.50, 18.50, 18.50 degrees
Atoms (fractional coordinates):
Co (0.750, 0.750, 0.750)
Fe (0.999, 0.999, 0.999)
Fe (0.501, 0.501, 0.501)
Si (0.250, 0.250, 0.250)

E_form (uncorrected), eV per atom: -0.045
Symmetry: R-3m
V, Å³/atom: 11.31
Calculated density, Mg/m³: 7.293
Total energy, eV per atom: -7.4087
M_tot, μB/cell: 5.26


LiAg2HgAu | PBE | optimized geometry

Cell lengths 4.438, 5.435, 9.015 Å; angles 90.00, 90.00, 114.09 degrees
Atoms (fractional coordinates):
Li (0.500, 0.000, 0.500)
Li (0.500, 0.000, 0.000)
Ag (0.167, 0.334, 0.032)
Ag (0.833, 0.666, 0.532)
Ag (0.167, 0.334, 0.468)
Ag (0.833, 0.666, 0.968)
Hg (0.680, 0.359, 0.250)
Hg (0.320, 0.641, 0.750)
Au (0.033, 0.067, 0.750)
Au (0.967, 0.933, 0.250)

Symmetry: Cmcm
Energy of formation, meV per atom: -90.3
V, Å³/atom: 19.85
Calculated density, Mg/m³: 10.377
Total energy, eV per atom: -2.3294
M_tot, μB/cell: 0.00


BaCa6Cd2 | PBE | optimized geometry

Cell lengths 3.977, 7.205, 12.893 Å; angles 76.86, 81.13, 73.98 degrees
Atoms (fractional coordinates):
Ba (0.000, 0.000, 0.000)
Ca (0.699, 0.471, 0.132)
Ca (0.301, 0.529, 0.868)
Ca (0.324, 0.772, 0.581)
Ca (0.973, 0.727, 0.326)
Ca (0.027, 0.273, 0.674)
Ca (0.676, 0.228, 0.419)
Cd (0.334, 0.099, 0.234)
Cd (0.666, 0.901, 0.766)

Symmetry: C2/m
Energy of formation, meV per atom: -140.4
V, Å³/atom: 38.24
Calculated density, Mg/m³: 2.908
ΔE to the lowest computed polymorph, meV/atom: 0
Total energy, eV per atom: -1.8918
M_tot, μB/cell: 0.00


Rb2SnI6Br | PBE | optimized geometry

Cell lengths 8.892, 8.892, 8.680 Å; angles 59.19, 59.19, 90.00 degrees
Atoms (fractional coordinates):
I (0.246, 0.246, 0.509)
I (0.754, 0.754, 0.491)
I (0.232, 0.232, 0.000)
I (0.768, 0.768, 0.000)
I (0.768, 0.232, 0.000)
I (0.232, 0.768, 0.000)
Br (0.500, 0.500, 0.000)
Sn (0.000, 0.000, 0.000)
Rb (0.750, 0.250, 0.500)
Rb (0.250, 0.750, 0.500)

E_form (uncorrected), eV per atom: -0.700
Symmetry: I4/mmm
V, Å³/atom: 47.31
Calculated density, Mg/m³: 3.969
Total energy, eV per atom: -2.3910
M_tot, μB/cell: 0.00


TaMnInCo | PBE | optimized geometry

Cell lengths 4.352, 4.352, 4.352 Å; angles 60.00, 60.00, 60.00 degrees
Atoms (fractional coordinates):
In (0.000, 0.000, 0.000)
Co (0.250, 0.250, 0.250)
Mn (0.750, 0.750, 0.750)
Ta (0.500, 0.500, 0.500)

Symmetry: F-43m
Energy of formation, meV per atom: 19.1
V, Å³/atom: 14.58
Calculated density, Mg/m³: 11.667
Total energy, eV per atom: -7.6975
M_tot, μB/cell: 0.00


Er4BiTe5 | PBE | optimized geometry

Cell lengths 4.306, 8.879, 9.719 Å; angles 104.21, 102.80, 90.00 degrees
Atoms (fractional coordinates):
Er (0.326, 0.899, 0.652)
Er (0.995, 0.738, 0.991)
Er (0.674, 0.101, 0.348)
Er (0.005, 0.262, 0.009)
Bi (0.500, 0.000, 0.000)
Te (0.833, 0.666, 0.666)
Te (0.838, 0.155, 0.675)
Te (0.162, 0.845, 0.325)
Te (0.500, 0.500, 0.000)
Te (0.167, 0.334, 0.334)

E_form (uncorrected), eV per atom: -1.138
Symmetry: C2/m
V, Å³/atom: 35.07
Calculated density, Mg/m³: 7.179
Total energy, eV per atom: -4.9222
M_tot, μB/cell: 0.00


Repeat the third record exactly.
Fe2CoSi | PBE | optimized geometry

Cell lengths 8.011, 8.011, 8.011 Å; angles 18.50, 18.50, 18.50 degrees
Atoms (fractional coordinates):
Co (0.750, 0.750, 0.750)
Fe (0.999, 0.999, 0.999)
Fe (0.501, 0.501, 0.501)
Si (0.250, 0.250, 0.250)

E_form (uncorrected), eV per atom: -0.045
Symmetry: R-3m
V, Å³/atom: 11.31
Calculated density, Mg/m³: 7.293
Total energy, eV per atom: -7.4087
M_tot, μB/cell: 5.26


Please write out number 8 again, unchanged.
Er4BiTe5 | PBE | optimized geometry

Cell lengths 4.306, 8.879, 9.719 Å; angles 104.21, 102.80, 90.00 degrees
Atoms (fractional coordinates):
Er (0.326, 0.899, 0.652)
Er (0.995, 0.738, 0.991)
Er (0.674, 0.101, 0.348)
Er (0.005, 0.262, 0.009)
Bi (0.500, 0.000, 0.000)
Te (0.833, 0.666, 0.666)
Te (0.838, 0.155, 0.675)
Te (0.162, 0.845, 0.325)
Te (0.500, 0.500, 0.000)
Te (0.167, 0.334, 0.334)

E_form (uncorrected), eV per atom: -1.138
Symmetry: C2/m
V, Å³/atom: 35.07
Calculated density, Mg/m³: 7.179
Total energy, eV per atom: -4.9222
M_tot, μB/cell: 0.00